# NbRu2Rh

A relaxed structure of NbRu2Rh (GGA-PBE, Alexandria).

For the polymorph energy (0 for the lowest one), the calculation gives 602 meV/atom. As for the space-group type: I-42d (122). The density is 10.1 g/cm3. Its calculated formation energy is 0.34 eV/atom.

a = 3.813 Å, b = 3.813 Å, c = 9.402 Å
α = 78.30°, β = 78.30°, γ = 90.00°
Fractional positions:
Ru1 0.097 0.625 0.250
Ru2 0.375 0.347 0.750
Rh1 0.750 0.250 0.500
Nb1 0.500 0.500 0.000
Rh2 0.000 0.000 0.000
Ru3 0.875 0.903 0.750
Nb2 0.250 0.750 0.500
Ru4 0.653 0.125 0.250

# Nb2Ru4Rh

A relaxed structure of Nb2Ru4Rh (GGA-PBE, Alexandria).

For the polymorph energy (0 for the lowest one), the calculation gives 0 meV/atom. As for the space-group type: Cmce (64). The density is 10.3 g/cm3. Its calculated formation energy is 0.12 eV/atom.

a = 9.282 Å, b = 5.245 Å, c = 5.305 Å
α = 119.63°, β = 90.00°, γ = 90.00°
Fractional positions:
Nb1 0.000 0.337 0.674
Ru1 0.250 0.924 0.500
Ru2 0.750 0.076 0.500
Ru3 0.216 0.386 0.000
Rh1 0.000 0.000 0.000
Ru4 0.250 0.424 0.500
Rh2 0.500 0.500 0.000
Ru5 0.716 0.114 0.000
Ru6 0.784 0.614 0.000
Ru7 0.750 0.576 0.500
Nb2 0.500 0.837 0.674
Nb3 0.500 0.163 0.326
Nb4 0.000 0.663 0.326
Ru8 0.284 0.886 0.000

# NbRuRh3

A relaxed structure of NbRuRh3 (GGA-PBE, Alexandria).

For the polymorph energy (0 for the lowest one), the calculation gives 0 meV/atom. As for the space-group type: R-3m (166). The density is 8.5 g/cm3. Its calculated formation energy is 0.83 eV/atom.

a = 5.338 Å, b = 5.338 Å, c = 5.039 Å
α = 58.02°, β = 58.02°, γ = 60.00°
Fractional positions:
Rh1 0.975 0.475 0.575
Ru1 0.975 0.975 0.075
Rh2 0.975 0.975 0.575
Nb1 0.475 0.475 0.575
Rh3 0.475 0.975 0.575

# NbRu3Rh

A relaxed structure of NbRu3Rh (GGA-PBE, Alexandria).

For the polymorph energy (0 for the lowest one), the calculation gives 0 meV/atom. As for the space-group type: R-3m (166). The density is 8.3 g/cm3. Its calculated formation energy is 1.09 eV/atom.

a = 5.283 Å, b = 5.283 Å, c = 5.125 Å
α = 58.97°, β = 58.97°, γ = 60.00°
Fractional positions:
Ru1 0.975 0.475 0.575
Ru2 0.475 0.975 0.575
Rh1 0.975 0.975 0.075
Nb1 0.475 0.475 0.575
Ru3 0.975 0.975 0.575

- What is the formula in the fourth record?
  NbRu3Rh